1.
VASP calculation (GGA-PBE) on a relaxed structure of Dy3NiPb3.

The structure in POSCAR format:
```
Dy3NiPb3
1.0
4.3790 0.0000 0.6596
2.1582 5.6872 0.5380
0.0335 0.0948 14.6427
Pb Dy Ni
6 6 2
direct
0.9858 0.7919 0.2365
0.0142 0.2081 0.7635
0.1540 0.2321 0.4600
0.8621 0.1976 0.0783
0.8460 0.7679 0.5400
0.1379 0.8024 0.9217
0.4773 0.6627 0.3827
0.7331 0.7745 0.7592
0.2669 0.2255 0.2408
0.5940 0.7338 0.0781
0.5227 0.3373 0.6173
0.4060 0.2662 0.9219
0.7713 0.0768 0.3807
0.2287 0.9232 0.6193
```

Computed properties:
Its density of states at the Fermi level is 4.2 states/eV/f.u. The calculation puts the volume at 364 Å³/cell. As for the formation energy from the elements: -0.436 eV per atom. The space-group type is C2/m (12). The total magnetization comes out at 0.000 μB per formula unit.

=====

2.
VASP calculation (GGA-PBE) on a relaxed structure of LiSiMo2.

The structure in POSCAR format:
```
LiSiMo2
1.0
-0.2701 -2.1217 2.3985
3.1949 -0.3421 0.0571
0.3792 4.1623 3.7245
Li Mo Si
1 2 1
direct
0.5000 0.5000 0.7339
0.0000 0.0000 0.0077
0.5000 0.5000 0.2416
0.0000 0.0000 0.5168
```

Computed properties:
Its density of states at the Fermi level is 3.2 states/eV/f.u. The calculation puts the volume at 58 Å³/cell. For the formation energy (no corrections), the calculation gives 0.008 eV per atom. The space-group type is P4mm (99). The total magnetization comes out at 0.000 μB per formula unit.

=====

3.
VASP calculation (GGA-PBE) on a relaxed structure of GdThCl2.

The structure in POSCAR format:
```
GdThCl2
1.0
3.5960 0.0000 0.0000
1.7980 3.1142 0.0000
1.7980 1.0381 9.8848
Cl Gd Th
2 1 1
direct
0.9041 0.9041 0.2878
0.0959 0.0959 0.7122
0.0000 0.0000 0.0000
0.5000 0.5000 0.5000
```

Computed properties:
Its density of states at the Fermi level is 6.4 states/eV/f.u. The calculation puts the volume at 111 Å³/cell. For the formation energy (no corrections), the calculation gives -1.179 eV per atom. The space-group type is R-3m (166). The total magnetization comes out at 7.637 μB per formula unit.